Computed, not measured: a geometry-optimized LaYTl3 structure at the PBE-GGA level of DFT.

Lattice parameters (Å, degrees): 15.5456 15.5456 5.0470 90.00 90.00 165.97
With the nearest neighbours (Å) after each atom.
Positions (direct):
La1 0.0780 0.9220 0.7500  12 Tl 3.47-3.87, 2 La 3.80
La2 0.9220 0.0780 0.2500  12 Tl 3.47-3.87, 2 La 3.80
Y1 0.2114 0.7886 0.2500  7 Tl 3.13-3.28
Y2 0.7886 0.2114 0.7500  7 Tl 3.13-3.28
Tl1 0.3128 0.6872 0.2500  5 Y 3.13-3.25, 2 Tl 3.18
Tl2 0.3753 0.6247 0.7500  3 Tl 3.05-3.18, 2 Y 3.28
Tl3 0.4743 0.5257 0.7500  3 Tl 2.98-3.05
Tl4 0.5257 0.4743 0.2500  3 Tl 2.98-3.05
Tl5 0.6247 0.3753 0.2500  3 Tl 3.05-3.18, 2 Y 3.28
Tl6 0.6872 0.3128 0.7500  5 Y 3.13-3.25, 2 Tl 3.18

Output
- Distance to the lowest polymorph of the same formula: 0.0 kJ/mol of atoms
- Energy of formation: -0.304 eV/atom
- SG: Cmcm, No. 63
- Total magnetization: 0.0 μB/f.u.



Computed, not measured: a geometry-optimized La3Y3Tl2 structure at the PBE-GGA level of DFT.

Lattice parameters (Å, degrees): 6.5876 6.5876 17.0013 90.00 90.00 133.62
With the nearest neighbours (Å) after each atom.
Positions (direct):
La1 0.0474 0.9526 0.6046  3 Tl 3.48-3.67, 6 Y 3.58-3.76, 2 La 3.74-3.84
La2 0.0474 0.9526 0.8954  3 Tl 3.48-3.67, 6 Y 3.58-3.76, 2 La 3.74-3.84
La3 0.2899 0.7101 0.7500  4 Tl 3.41, 5 Y 3.41-3.71
La4 0.7101 0.2899 0.2500  4 Tl 3.41, 5 Y 3.41-3.71
La5 0.9526 0.0474 0.1046  3 Tl 3.48-3.67, 6 Y 3.58-3.76, 2 La 3.74-3.84
La6 0.9526 0.0474 0.3954  3 Tl 3.48-3.67, 6 Y 3.58-3.76, 2 La 3.74-3.84
Y1 0.3638 0.6362 0.5423  3 Tl 3.17-3.18
Y2 0.3638 0.6362 0.9577  3 Tl 3.17-3.18
Y3 0.4286 0.5714 0.2500  2 Tl 3.17, 1 La 3.41
Y4 0.5714 0.4286 0.7500  2 Tl 3.17, 1 La 3.41
Y5 0.6362 0.3638 0.0423  3 Tl 3.17-3.18
Y6 0.6362 0.3638 0.4577  3 Tl 3.17-3.18
Tl1 0.2391 0.7609 0.1216  4 Y 3.17-3.18, 3 La 3.41-3.48
Tl2 0.2391 0.7609 0.3784  4 Y 3.17-3.18, 3 La 3.41-3.48
Tl3 0.7609 0.2391 0.6216  4 Y 3.17-3.18, 3 La 3.41-3.48
Tl4 0.7609 0.2391 0.8784  4 Y 3.17-3.18, 3 La 3.41-3.48

Output
- Energy of formation: -0.137 eV/atom
- SG: Cmcm, No. 63
- Total magnetization: 0.0 μB/f.u.



Looking at energy for the records above, in order, we have -4.00, -5.00 eV/atom.